# 1
A plane-wave DFT calculation with GGA-PBE was carried out for a relaxed structure of LiLa2Tl.

Values from the calculation:
Theoretical density ... 6.98 g/cm3
DFT formation energy ... -0.200 eV/atom

The structure in CIF format:
```
data_LiLa2Tl
_symmetry_space_group_name_H-M 'I m m 2'
_symmetry_Int_Tables_number 44
_cell_length_a 3.881
_cell_length_b 5.427
_cell_length_c 11.046
_cell_angle_alpha 90.00
_cell_angle_beta 90.00
_cell_angle_gamma 90.00
loop_
_symmetry_equiv_pos_as_xyz
'x,y,z'
'-x,-y,z'
'-x,y,z'
'x,-y,z'
'x+1/2,y+1/2,z+1/2'
'-x+1/2,-y+1/2,z+1/2'
'-x+1/2,y+1/2,z+1/2'
'x+1/2,-y+1/2,z+1/2'
loop_
_atom_site_label
_atom_site_fract_x
_atom_site_fract_y
_atom_site_fract_z
Li1 0.000 0.000 0.000
La1 0.000 0.000 0.459
La2 0.000 0.500 0.233
Tl1 0.000 0.500 0.683
```

# 2
A plane-wave DFT calculation with GGA-PBE was carried out for a relaxed structure of Tb2NiPd.

Values from the calculation:
Theoretical density ... 9.67 g/cm3
DFT formation energy ... -0.608 eV/atom

The structure in CIF format:
```
data_Tb2NiPd
_symmetry_space_group_name_H-M 'P 4/m m m'
_symmetry_Int_Tables_number 123
_symmetry_space_group_name_Hall '-P 4 2'
_cell_length_a 3.443
_cell_length_b 3.443
_cell_length_c 6.997
_cell_angle_alpha 90.00
_cell_angle_beta 90.00
_cell_angle_gamma 90.00
loop_
_atom_site_label
_atom_site_fract_x
_atom_site_fract_y
_atom_site_fract_z
Tb1 0.000 0.000 0.239
Ni1 0.500 0.500 0.000
Pd1 0.500 0.500 0.500
```

# 3
A plane-wave DFT calculation with GGA-PBE was carried out for a relaxed structure of Nb3PdSe.

Values from the calculation:
Theoretical density ... 7.33 g/cm3
Raw formation energy ... 714 meV/atom

The structure in CIF format:
```
data_Nb3PdSe
_symmetry_space_group_name_H-M 'P m -3 m'
_symmetry_Int_Tables_number 221
_symmetry_space_group_name_Hall '-P 4 2 3'
_cell_length_a 4.719
_cell_length_b 4.719
_cell_length_c 4.719
_cell_angle_alpha 90.00
_cell_angle_beta 90.00
_cell_angle_gamma 90.00
loop_
_atom_site_label
_atom_site_fract_x
_atom_site_fract_y
_atom_site_fract_z
Nb1 0.000 0.000 0.500
Pd1 0.500 0.500 0.500
Se1 0.000 0.000 0.000
```

Looking at total magnetic moment for the records above, in order, we have 0.00; 0.00; 0.00 μB per cell.